# Pr4Tm7Th (PBE-GGA, relaxed)
data_Pr4Tm7Th
_space_group_name_H-M_alt 'P 1'
_space_group_IT_number 1
_space_group_name_Hall 'P 1'
_cell_length_a 7.114
_cell_length_b 7.983
_cell_length_c 11.755
_cell_angle_alpha 62.07
_cell_angle_beta 41.52
_cell_angle_gamma 63.44
loop_
_atom_site_label
_atom_site_type_symbol
_atom_site_fract_x
_atom_site_fract_y
_atom_site_fract_z
_atom_site_occupancy
Pr1 Pr 0.742 0.831 0.671 1
Pr2 Pr 0.508 0.668 0.330 1
Pr3 Pr 0.492 0.332 0.670 1
Pr4 Pr 0.258 0.169 0.329 1
Tm1 Tm 0.754 0.163 0.328 1
Tm2 Tm 0.247 0.504 0.001 1
Tm3 Tm 0.753 0.496 0.999 1
Tm4 Tm 0.002 0.673 0.328 1
Tm5 Tm 0.500 0.000 0.000 1
Tm6 Tm 0.998 0.327 0.672 1
Tm7 Tm 0.246 0.837 0.672 1
Th1 Th 0.000 0.000 0.000 1
# Total magnetization: 0.00 μB per formula unit
# V: 32.13 Å³/atom
# Density: 8.5 g cm⁻³
# Electronic total energy: -57.52 eV per cell
# Density of states at the Fermi level: 15.6 states/eV/cell
# Energy relative to the elements: 0.03 eV/atom



# Pr2Tm6Th3 (PBE-GGA, relaxed)
data_Pr2Tm6Th3
_space_group_name_H-M_alt 'P 1'
_space_group_IT_number 1
_space_group_name_Hall 'P 1'
_cell_length_a 6.142
_cell_length_b 6.143
_cell_length_c 12.860
_cell_angle_alpha 76.21
_cell_angle_beta 61.51
_cell_angle_gamma 60.00
loop_
_atom_site_label
_atom_site_type_symbol
_atom_site_fract_x
_atom_site_fract_y
_atom_site_fract_z
_atom_site_occupancy
Tm1 Tm 0.913 0.000 0.756 1
Tm2 Tm 0.574 0.669 0.756 1
Tm3 Tm 0.087 0.000 0.244 1
Tm4 Tm 0.244 0.331 0.756 1
Tm5 Tm 0.426 0.331 0.244 1
Tm6 Tm 0.756 0.669 0.244 1
Th1 Th 0.334 0.333 0.000 1
Th2 Th 0.000 0.000 0.000 1
Th3 Th 0.666 0.667 0.000 1
Pr1 Pr 0.167 0.666 0.500 1
Pr2 Pr 0.833 0.334 0.500 1
# Total magnetization: 0.00 μB per formula unit
# V: 33.58 Å³/atom
# Density: 9.0 g cm⁻³
# Electronic total energy: -56.98 eV per cell
# Density of states at the Fermi level: 14.4 states/eV/cell
# Energy relative to the elements: 0.15 eV/atom



# Pr2Tm12Th5 (PBE-GGA, relaxed)
data_Pr2Tm12Th5
_space_group_name_H-M_alt 'P 1'
_space_group_IT_number 1
_space_group_name_Hall 'P 1'
_cell_length_a 7.036
_cell_length_b 9.910
_cell_length_c 10.142
_cell_angle_alpha 68.45
_cell_angle_beta 90.00
_cell_angle_gamma 110.79
loop_
_atom_site_label
_atom_site_type_symbol
_atom_site_fract_x
_atom_site_fract_y
_atom_site_fract_z
_atom_site_occupancy
Th1 Th 0.316 0.633 0.212 1
Th2 Th 0.000 0.000 0.500 1
Th3 Th 0.684 0.367 0.788 1
Th4 Th 0.810 0.620 0.185 1
Th5 Th 0.190 0.380 0.815 1
Tm1 Tm 0.500 0.999 0.330 1
Tm2 Tm 0.403 0.316 0.137 1
Tm3 Tm 0.912 0.316 0.137 1
Tm4 Tm 0.500 0.001 0.670 1
Tm5 Tm 0.972 0.945 0.236 1
Tm6 Tm 0.028 0.055 0.764 1
Tm7 Tm 0.088 0.684 0.863 1
Tm8 Tm 0.586 0.670 0.513 1
Tm9 Tm 0.085 0.670 0.513 1
Tm10 Tm 0.414 0.330 0.487 1
Tm11 Tm 0.597 0.684 0.863 1
Tm12 Tm 0.915 0.330 0.487 1
Pr1 Pr 0.287 0.000 0.000 1
Pr2 Pr 0.713 0.000 0.000 1
# Total magnetization: 0.00 μB per formula unit
# V: 32.00 Å³/atom
# Density: 9.5 g cm⁻³
# Electronic total energy: -96.15 eV per cell
# Density of states at the Fermi level: 29.2 states/eV/cell
# Energy relative to the elements: 0.22 eV/atom



# Pr3Tm4Th (PBE-GGA, relaxed)
data_Pr3Tm4Th
_space_group_name_H-M_alt 'P 1'
_space_group_IT_number 1
_space_group_name_Hall 'P 1'
_cell_length_a 6.277
_cell_length_b 7.233
_cell_length_c 11.580
_cell_angle_alpha 90.00
_cell_angle_beta 90.00
_cell_angle_gamma 90.00
loop_
_atom_site_label
_atom_site_type_symbol
_atom_site_fract_x
_atom_site_fract_y
_atom_site_fract_z
_atom_site_occupancy
Pr1 Pr 0.978 0.626 0.247 1
Pr2 Pr 0.139 0.378 0.500 1
Pr3 Pr 0.478 0.374 0.253 1
Pr4 Pr 0.978 0.626 0.753 1
Pr5 Pr 0.478 0.374 0.747 1
Pr6 Pr 0.639 0.622 0.000 1
Th1 Th 0.652 0.632 0.500 1
Th2 Th 0.152 0.368 0.000 1
Tm1 Tm 0.147 0.881 0.000 1
Tm2 Tm 0.985 0.122 0.752 1
Tm3 Tm 0.485 0.878 0.748 1
Tm4 Tm 0.485 0.878 0.252 1
Tm5 Tm 0.151 0.875 0.500 1
Tm6 Tm 0.985 0.122 0.248 1
Tm7 Tm 0.647 0.119 0.500 1
Tm8 Tm 0.651 0.125 0.000 1
# Total magnetization: 0.00 μB per formula unit
# V: 32.86 Å³/atom
# Density: 8.4 g cm⁻³
# Electronic total energy: -78.45 eV per cell
# Density of states at the Fermi level: 28.9 states/eV/cell
# Energy relative to the elements: 0.05 eV/atom